(1)
First-principles (GGA-PBE) data for a relaxed CrP crystal, as listed in Alexandria via LeMat-Bulk.

Lattice parameters (Å, degrees): 3.2564 3.9843 9.2772 90.00 90.00 90.00
Space group Cmme (No. 67)
Symmetry-distinct sites (fractional):
Cr 0.0000 0.2500 0.1020 [4 per cell]
P 0.0000 0.2500 0.7124 [4 per cell]

## Properties
The value obtained for the formation energy is 0.2 eV/f.u. The calculation puts the calculated volume at 15.0 Å³/atom.



(2)
First-principles (GGA-PBE) data for a relaxed RbLiAs2O6 crystal, as listed in Alexandria via LeMat-Bulk.

Lattice parameters (Å, degrees): 10.6147 11.9753 5.3016 90.00 103.77 90.00
Space group C2/c (No. 15)
Symmetry-distinct sites (fractional):
Rb 0.0000 0.1153 0.2500 [4 per cell]
Li 0.0000 0.2398 0.7500 [4 per cell]
As 0.2020 0.4171 0.1577 [8 per cell]
O 0.1025 0.3111 0.0535 [8 per cell]
O 0.1364 0.1014 0.7777 [8 per cell]
O 0.1588 0.4614 0.4536 [8 per cell]

## Properties
Its uncorrected formation energy is -1.4676 eV/atom. The calculation puts the calculated volume at 16.4 Å³/atom.



(3)
First-principles (GGA-PBE) data for a relaxed PrThCo2 crystal, as listed in Alexandria via LeMat-Bulk.

Lattice parameters (Å, degrees): 7.6079 4.5607 9.9626 90.00 90.00 90.00
Space group Pnma (No. 62)
Symmetry-distinct sites (fractional):
Pr 0.0905 0.2500 0.1237 [4 per cell]
Th 0.0570 0.2500 0.6265 [4 per cell]
Co 0.2039 0.2500 0.4041 [4 per cell]
Co 0.2063 0.2500 0.8486 [4 per cell]

## Properties
The value obtained for the formation energy is -0.5 eV/f.u. The calculation puts the calculated volume at 21.6 Å³/atom. The energy above the most stable polymorph in this dataset comes out at 0.20 eV/f.u.



(4)
First-principles (GGA-PBE) data for a relaxed TcTeHW2 crystal, as listed in Alexandria via LeMat-Bulk.

Lattice parameters (Å, degrees): 4.8297 4.8297 5.0946 90.00 90.00 90.00
Space group P4/mmm (No. 123)
Symmetry-distinct sites (fractional):
Tc 0.0000 0.0000 0.0000 [1 per cell]
Te 0.0000 0.0000 0.5000 [1 per cell]
H 0.5000 0.5000 0.5000 [1 per cell]
W 0.0000 0.5000 0.0000 [2 per cell]

## Properties
The calculation puts the calculated volume at 23.8 Å³/atom. The total energy is -6.307 eV per atom.



(5)
First-principles (GGA-PBE) data for a relaxed ZrTaPb4 crystal, as listed in Alexandria via LeMat-Bulk.

Lattice parameters (Å, degrees): 8.7319 8.7319 8.7319 90.00 90.00 90.00
Space group F-43m (No. 216)
Symmetry-distinct sites (fractional):
Zr 0.0000 0.0000 0.0000 [4 per cell]
Ta 0.2500 0.2500 0.2500 [4 per cell]
Pb 0.1249 0.1249 0.6249 [16 per cell]

## Properties
The value obtained for the formation energy is 5.5 eV/f.u. The calculation puts the calculated volume at 27.7 Å³/atom.



(6)
First-principles (GGA-PBE) data for a relaxed ErZrSc2 crystal, as listed in Alexandria via LeMat-Bulk.

Lattice parameters (Å, degrees): 3.3232 3.3232 31.9141 90.00 90.00 120.00
Space group R3m (No. 160, hexagonal axes)
Symmetry-distinct sites (fractional):
Er 0.0000 0.0000 0.0000 [3 per cell]
Zr 0.0000 0.0000 0.8345 [3 per cell]
Sc 0.0000 0.0000 0.4216 [3 per cell]
Sc 0.0000 0.0000 0.5795 [3 per cell]

## Properties
The value obtained for the formation energy is 0.1 eV/f.u. The calculation puts the calculated volume at 25.4 Å³/atom. The energy above the most stable polymorph in this dataset comes out at 0.00 eV/f.u.



(7)
First-principles (GGA-PBE) data for a relaxed LaNb2Ga2 crystal, as listed in Alexandria via LeMat-Bulk.

Lattice parameters (Å, degrees): 4.0923 4.0923 12.7052 90.00 90.00 90.00
Space group I4/mmm (No. 139)
Symmetry-distinct sites (fractional):
La 0.0000 0.0000 0.0000 [2 per cell]
Nb 0.0000 0.5000 0.2500 [4 per cell]
Ga 0.0000 0.0000 0.3973 [4 per cell]

## Properties
The value obtained for the formation energy is -1.7 eV/f.u. The calculation puts the calculated volume at 21.3 Å³/atom. The energy above the most stable polymorph in this dataset comes out at 0.00 eV/f.u.



(8)
First-principles (GGA-PBE) data for a relaxed HoTmCuHg crystal, as listed in Alexandria via LeMat-Bulk.

Lattice parameters (Å, degrees): 3.5016 3.5016 7.4149 90.00 90.00 90.00
Space group P4mm (No. 99)
Symmetry-distinct sites (fractional):
Ho 0.0000 0.0000 0.0000 [1 per cell]
Tm 0.0000 0.0000 0.5478 [1 per cell]
Cu 0.5000 0.5000 0.7680 [1 per cell]
Hg 0.5000 0.5000 0.2775 [1 per cell]

## Properties
The value obtained for the formation energy is -1.5 eV/f.u. The calculation puts the calculated volume at 22.7 Å³/atom. The energy above the most stable polymorph in this dataset comes out at 0.00 eV/f.u.



(9)
First-principles (GGA-PBE) data for a relaxed LaNd3Er6Tm2 crystal, as listed in Alexandria via LeMat-Bulk.

Lattice parameters (Å, degrees): 6.1874 10.7143 11.7899 90.00 100.04 90.00
Space group C2/m (No. 12)
Symmetry-distinct sites (fractional):
La 0.0000 0.0000 0.0000 [2 per cell]
Nd 0.0000 0.1670 0.5000 [4 per cell]
Nd 0.0000 0.5000 0.5000 [2 per cell]
Er 0.2483 0.5000 0.2483 [4 per cell]
Er 0.2495 0.3326 0.7518 [8 per cell]
Tm 0.0000 0.3332 0.0000 [4 per cell]

## Properties
The value obtained for the formation energy is 0.3 eV/f.u. The calculation puts the calculated volume at 32.1 Å³/atom.



(10)
First-principles (GGA-PBE) data for a relaxed KVCd crystal, as listed in Alexandria via LeMat-Bulk.

Lattice parameters (Å, degrees): 10.3316 6.6325 5.8176 90.00 124.17 90.00
Space group C2/m (No. 12)
Symmetry-distinct sites (fractional):
K 0.1230 0.0000 0.3731 [4 per cell]
V 0.0000 0.5000 0.0000 [2 per cell]
V 0.0000 0.5000 0.5000 [2 per cell]
Cd 0.2500 0.2500 0.0000 [4 per cell]

## Properties
The value obtained for the formation energy is 1.9 eV/f.u. The calculation puts the calculated volume at 27.5 Å³/atom. The energy above the most stable polymorph in this dataset comes out at 0.93 eV/f.u.



(11)
First-principles (GGA-PBE) data for a relaxed Tb4Y4Mg crystal, as listed in Alexandria via LeMat-Bulk.

Lattice parameters (Å, degrees): 10.6207 10.6207 5.0010 90.00 90.00 90.00
Space group I4/mmm (No. 139)
Symmetry-distinct sites (fractional):
Tb 0.0000 0.3357 0.0000 [8 per cell]
Y 0.1655 0.1655 0.5000 [8 per cell]
Mg 0.0000 0.0000 0.0000 [2 per cell]

## Properties
The value obtained for the formation energy is 0.2 eV/f.u. The calculation puts the calculated volume at 31.3 Å³/atom. The energy above the most stable polymorph in this dataset comes out at 0.00 eV/f.u.



(12)
First-principles (GGA-PBE) data for a relaxed YHoSnPd crystal, as listed in Alexandria via LeMat-Bulk.

Lattice parameters (Å, degrees): 7.2834 7.2834 7.2834 90.00 90.00 90.00
Space group F-43m (No. 216)
Symmetry-distinct sites (fractional):
Y 0.0000 0.0000 0.0000 [4 per cell]
Ho 0.0000 0.0000 0.5000 [4 per cell]
Sn 0.2500 0.2500 0.2500 [4 per cell]
Pd 0.2500 0.2500 0.7500 [4 per cell]

## Properties
The value obtained for the formation energy is -3.0 eV/f.u. The calculation puts the calculated volume at 24.1 Å³/atom.